A.
The following is a GGA-PBE calculation of an optimized crystal structure of NbNiHg, from the Alexandria database.

Computed properties:
space-group type = P2_1/m, No. 11
spin magnetization = 0.00 μB per atom

a = 2.895 Å, b = 4.442 Å, c = 8.182 Å
α = 90.00°, β = 95.45°, γ = 90.00°
Sites, in units of the cell vectors:
Nb1 0.848 0.250 0.407
Nb2 0.152 0.750 0.593
Ni1 0.564 0.250 0.695
Ni2 0.436 0.750 0.305
Hg1 0.273 0.250 0.089
Hg2 0.727 0.750 0.911

B.
The following is a GGA-PBE calculation of an optimized crystal structure of NbNiHg, from the Alexandria database.

Computed properties:
space-group type = P-1, No. 2
spin magnetization = 0.00 μB per atom

a = 2.911 Å, b = 5.303 Å, c = 7.299 Å
α = 69.98°, β = 89.04°, γ = 74.33°
Sites, in units of the cell vectors:
Nb1 0.174 0.732 0.523
Nb2 0.826 0.268 0.477
Ni1 0.463 0.091 0.230
Ni2 0.537 0.909 0.770
Hg1 0.860 0.319 0.879
Hg2 0.140 0.681 0.121

C.
The following is a GGA-PBE calculation of an optimized crystal structure of NbNiHg, from the Alexandria database.

Computed properties:
space-group type = I4mm, No. 107
spin magnetization = 0.00 μB per atom

a = 2.958 Å, b = 2.958 Å, c = 11.427 Å
α = 90.00°, β = 90.00°, γ = 90.00°
Sites, in units of the cell vectors:
Nb1 0.000 0.000 0.829
Nb2 0.500 0.500 0.329
Ni1 0.000 0.000 0.466
Ni2 0.500 0.500 0.966
Hg1 0.000 0.000 0.130
Hg2 0.500 0.500 0.630

Stability check: which of them is most stable? C.

A.
The following is a GGA-PBE calculation of an optimized crystal structure of NbNiHg, from the Alexandria database.

Computed properties:
space-group type = Cmmm, No. 65
spin magnetization = 0.00 μB per atom

a = 13.241 Å, b = 4.265 Å, c = 3.563 Å
α = 90.00°, β = 90.00°, γ = 90.00°
Sites, in units of the cell vectors:
Nb1 0.000 0.000 0.500
Nb2 0.500 0.500 0.500
Nb3 0.500 0.000 0.000
Nb4 0.000 0.500 0.000
Ni1 0.852 0.000 0.000
Ni2 0.148 0.000 0.000
Ni3 0.352 0.500 0.000
Ni4 0.648 0.500 0.000
Hg1 0.675 0.000 0.500
Hg2 0.325 0.000 0.500
Hg3 0.175 0.500 0.500
Hg4 0.825 0.500 0.500

B.
The following is a GGA-PBE calculation of an optimized crystal structure of NbNiHg, from the Alexandria database.

Computed properties:
space-group type = Cmcm, No. 63
spin magnetization = 0.00 μB per atom

a = 3.453 Å, b = 13.520 Å, c = 4.305 Å
α = 90.00°, β = 90.00°, γ = 90.00°
Sites, in units of the cell vectors:
Nb1 0.000 0.256 0.250
Nb2 0.000 0.744 0.750
Nb3 0.500 0.756 0.250
Nb4 0.500 0.244 0.750
Ni1 0.000 0.899 0.250
Ni2 0.000 0.101 0.750
Ni3 0.500 0.399 0.250
Ni4 0.500 0.601 0.750
Hg1 0.000 0.575 0.250
Hg2 0.000 0.425 0.750
Hg3 0.500 0.075 0.250
Hg4 0.500 0.925 0.750

Stability check: which of them is most stable? B.

A.
The following is a GGA-PBE calculation of an optimized crystal structure of Nb2HgO, from the Alexandria database.

Computed properties:
space-group type = Fm-3m, No. 225
spin magnetization = 0.00 μB per atom

a = 4.512 Å, b = 4.512 Å, c = 4.512 Å
α = 60.00°, β = 60.00°, γ = 60.00°
Sites, in units of the cell vectors:
Nb1 0.250 0.250 0.250
Nb2 0.750 0.750 0.750
Hg1 0.500 0.500 0.500
O1 0.000 0.000 0.000

B.
The following is a GGA-PBE calculation of an optimized crystal structure of Nb2HgO, from the Alexandria database.

Computed properties:
space-group type = I-42d, No. 122
spin magnetization = 0.00 μB per atom

a = 5.157 Å, b = 5.157 Å, c = 7.029 Å
α = 68.48°, β = 68.48°, γ = 90.00°
Sites, in units of the cell vectors:
Nb1 0.486 0.125 0.250
Nb2 0.264 0.625 0.250
Nb3 0.375 0.514 0.750
Nb4 0.875 0.736 0.750
Hg1 0.000 0.000 0.000
Hg2 0.750 0.250 0.500
O1 0.500 0.500 0.000
O2 0.250 0.750 0.500

Stability check: which of them is most stable? B.

A.
The following is a GGA-PBE calculation of an optimized crystal structure of NbHgP2O, from the Alexandria database.

Computed properties:
space-group type = P4/mmm, No. 123
spin magnetization = 0.00 μB per atom

a = 4.888 Å, b = 4.888 Å, c = 4.003 Å
α = 90.00°, β = 90.00°, γ = 90.00°
Sites, in units of the cell vectors:
P1 0.000 0.500 0.000
P2 0.500 0.000 0.000
Nb1 0.500 0.500 0.500
Hg1 0.000 0.000 0.000
O1 0.000 0.000 0.500

B.
The following is a GGA-PBE calculation of an optimized crystal structure of NbHgP2O, from the Alexandria database.

Computed properties:
space-group type = P4/mmm, No. 123
spin magnetization = 0.00 μB per atom

a = 5.005 Å, b = 5.005 Å, c = 3.906 Å
α = 90.00°, β = 90.00°, γ = 90.00°
Sites, in units of the cell vectors:
P1 0.000 0.500 0.000
P2 0.500 0.000 0.000
Nb1 0.000 0.000 0.000
Hg1 0.500 0.500 0.500
O1 0.000 0.000 0.500

Stability check: which of them is most stable? B.

A.
The following is a GGA-PBE calculation of an optimized crystal structure of NbHgOs3, from the Alexandria database.

Computed properties:
space-group type = Pm-3m, No. 221
spin magnetization = 0.32 μB per atom

a = 4.783 Å, b = 4.783 Å, c = 4.783 Å
α = 90.00°, β = 90.00°, γ = 90.00°
Sites, in units of the cell vectors:
Nb1 0.000 0.000 0.000
Os1 0.000 0.500 0.000
Os2 0.000 0.000 0.500
Os3 0.500 0.000 0.000
Hg1 0.500 0.500 0.500

B.
The following is a GGA-PBE calculation of an optimized crystal structure of NbHgOs3, from the Alexandria database.

Computed properties:
space-group type = Pm-3m, No. 221
spin magnetization = 0.00 μB per atom

a = 4.787 Å, b = 4.787 Å, c = 4.787 Å
α = 90.00°, β = 90.00°, γ = 90.00°
Sites, in units of the cell vectors:
Nb1 0.500 0.500 0.500
Os1 0.000 0.500 0.000
Os2 0.000 0.000 0.500
Os3 0.500 0.000 0.000
Hg1 0.000 0.000 0.000

Stability check: which of them is most stable? A.

A.
The following is a GGA-PBE calculation of an optimized crystal structure of NbHg2Os, from the Alexandria database.

Computed properties:
space-group type = Fm-3m, No. 225
spin magnetization = 0.00 μB per atom

a = 4.669 Å, b = 4.669 Å, c = 4.669 Å
α = 60.00°, β = 60.00°, γ = 60.00°
Sites, in units of the cell vectors:
Nb1 0.000 0.000 0.000
Os1 0.500 0.500 0.500
Hg1 0.250 0.250 0.250
Hg2 0.750 0.750 0.750

B.
The following is a GGA-PBE calculation of an optimized crystal structure of NbHg2Os, from the Alexandria database.

Computed properties:
space-group type = I-42d, No. 122
spin magnetization = 0.17 μB per atom

a = 7.698 Å, b = 7.698 Å, c = 6.091 Å
α = 50.81°, β = 50.81°, γ = 90.00°
Sites, in units of the cell vectors:
Nb1 0.500 0.500 0.000
Nb2 0.250 0.750 0.500
Os1 0.000 0.000 0.000
Os2 0.750 0.250 0.500
Hg1 0.638 0.125 0.250
Hg2 0.112 0.625 0.250
Hg3 0.375 0.362 0.750
Hg4 0.875 0.888 0.750

Stability check: which of them is most stable? A.

A.
The following is a GGA-PBE calculation of an optimized crystal structure of Nb2HgP, from the Alexandria database.

Computed properties:
space-group type = Fm-3m, No. 225
spin magnetization = 0.00 μB per atom

a = 4.610 Å, b = 4.610 Å, c = 4.610 Å
α = 60.00°, β = 60.00°, γ = 60.00°
Sites, in units of the cell vectors:
P1 0.000 0.000 0.000
Nb1 0.250 0.250 0.250
Nb2 0.750 0.750 0.750
Hg1 0.500 0.500 0.500

B.
The following is a GGA-PBE calculation of an optimized crystal structure of Nb2HgP, from the Alexandria database.

Computed properties:
space-group type = I-42d, No. 122
spin magnetization = 0.00 μB per atom

a = 3.956 Å, b = 3.956 Å, c = 10.155 Å
α = 78.77°, β = 78.77°, γ = 90.00°
Sites, in units of the cell vectors:
P1 0.500 0.500 0.000
P2 0.250 0.750 0.500
Nb1 0.612 0.125 0.250
Nb2 0.138 0.625 0.250
Nb3 0.375 0.388 0.750
Nb4 0.875 0.862 0.750
Hg1 0.000 0.000 0.000
Hg2 0.750 0.250 0.500

Stability check: which of them is most stable? A.

A.
The following is a GGA-PBE calculation of an optimized crystal structure of NbHgPS2, from the Alexandria database.

Computed properties:
space-group type = P4/mmm, No. 123
spin magnetization = 0.00 μB per atom

a = 4.769 Å, b = 4.769 Å, c = 5.060 Å
α = 90.00°, β = 90.00°, γ = 90.00°
Sites, in units of the cell vectors:
S1 0.000 0.500 0.000
S2 0.500 0.000 0.000
P1 0.000 0.000 0.500
Nb1 0.000 0.000 0.000
Hg1 0.500 0.500 0.500

B.
The following is a GGA-PBE calculation of an optimized crystal structure of NbHgPS2, from the Alexandria database.

Computed properties:
space-group type = P4/mmm, No. 123
spin magnetization = 0.00 μB per atom

a = 4.822 Å, b = 4.822 Å, c = 4.900 Å
α = 90.00°, β = 90.00°, γ = 90.00°
Sites, in units of the cell vectors:
S1 0.000 0.500 0.000
S2 0.500 0.000 0.000
P1 0.000 0.000 0.500
Nb1 0.500 0.500 0.500
Hg1 0.000 0.000 0.000

Stability check: which of them is most stable? A.

A.
The following is a GGA-PBE calculation of an optimized crystal structure of Nb3HgPb, from the Alexandria database.

Computed properties:
space-group type = Pm-3m, No. 221
spin magnetization = 0.00 μB per atom

a = 5.145 Å, b = 5.145 Å, c = 5.145 Å
α = 90.00°, β = 90.00°, γ = 90.00°
Sites, in units of the cell vectors:
Pb1 0.000 0.000 0.000
Nb1 0.000 0.500 0.000
Nb2 0.000 0.000 0.500
Nb3 0.500 0.000 0.000
Hg1 0.500 0.500 0.500

B.
The following is a GGA-PBE calculation of an optimized crystal structure of Nb3HgPb, from the Alexandria database.

Computed properties:
space-group type = Pm-3m, No. 221
spin magnetization = 0.00 μB per atom

a = 5.082 Å, b = 5.082 Å, c = 5.082 Å
α = 90.00°, β = 90.00°, γ = 90.00°
Sites, in units of the cell vectors:
Pb1 0.500 0.500 0.500
Nb1 0.000 0.500 0.000
Nb2 0.000 0.000 0.500
Nb3 0.500 0.000 0.000
Hg1 0.000 0.000 0.000

Stability check: which of them is most stable? B.

A.
The following is a GGA-PBE calculation of an optimized crystal structure of Nb3HgPd, from the Alexandria database.

Computed properties:
space-group type = Pm-3m, No. 221
spin magnetization = 0.00 μB per atom

a = 4.866 Å, b = 4.866 Å, c = 4.866 Å
α = 90.00°, β = 90.00°, γ = 90.00°
Sites, in units of the cell vectors:
Nb1 0.000 0.500 0.000
Nb2 0.000 0.000 0.500
Nb3 0.500 0.000 0.000
Hg1 0.500 0.500 0.500
Pd1 0.000 0.000 0.000

B.
The following is a GGA-PBE calculation of an optimized crystal structure of Nb3HgPd, from the Alexandria database.

Computed properties:
space-group type = Pm-3m, No. 221
spin magnetization = 0.61 μB per atom

a = 5.033 Å, b = 5.033 Å, c = 5.033 Å
α = 90.00°, β = 90.00°, γ = 90.00°
Sites, in units of the cell vectors:
Nb1 0.000 0.500 0.000
Nb2 0.000 0.000 0.500
Nb3 0.500 0.000 0.000
Hg1 0.000 0.000 0.000
Pd1 0.500 0.500 0.500

Stability check: which of them is most stable? A.

A.
The following is a GGA-PBE calculation of an optimized crystal structure of NbHg2Pd, from the Alexandria database.

Computed properties:
space-group type = Fm-3m, No. 225
spin magnetization = 0.00 μB per atom

a = 4.727 Å, b = 4.727 Å, c = 4.727 Å
α = 60.00°, β = 60.00°, γ = 60.00°
Sites, in units of the cell vectors:
Nb1 0.000 0.000 0.000
Hg1 0.250 0.250 0.250
Hg2 0.750 0.750 0.750
Pd1 0.500 0.500 0.500

B.
The following is a GGA-PBE calculation of an optimized crystal structure of NbHg2Pd, from the Alexandria database.

Computed properties:
space-group type = I-42d, No. 122
spin magnetization = 0.00 μB per atom

a = 7.616 Å, b = 7.616 Å, c = 6.098 Å
α = 51.36°, β = 51.36°, γ = 90.00°
Sites, in units of the cell vectors:
Nb1 0.500 0.500 0.000
Nb2 0.250 0.750 0.500
Hg1 0.634 0.125 0.250
Hg2 0.116 0.625 0.250
Hg3 0.375 0.366 0.750
Hg4 0.875 0.884 0.750
Pd1 0.000 0.000 0.000
Pd2 0.750 0.250 0.500

Stability check: which of them is most stable? A.

A.
The following is a GGA-PBE calculation of an optimized crystal structure of Pu2NbHg, from the Alexandria database.

Computed properties:
space-group type = P4/mmm, No. 123
spin magnetization = 2.76 μB per atom

a = 3.147 Å, b = 3.147 Å, c = 9.394 Å
α = 90.00°, β = 90.00°, γ = 90.00°
Sites, in units of the cell vectors:
Nb1 0.500 0.500 0.000
Hg1 0.500 0.500 0.500
Pu1 0.000 0.000 0.767
Pu2 0.000 0.000 0.233

B.
The following is a GGA-PBE calculation of an optimized crystal structure of Pu2NbHg, from the Alexandria database.

Computed properties:
space-group type = R-3m, No. 166
spin magnetization = 2.79 μB per atom

a = 3.183 Å, b = 3.183 Å, c = 11.533 Å
α = 82.07°, β = 82.07°, γ = 60.00°
Sites, in units of the cell vectors:
Nb1 0.500 0.500 0.500
Hg1 0.000 0.000 0.000
Pu1 0.095 0.095 0.716
Pu2 0.905 0.905 0.284

Stability check: which of them is most stable? A.